The following is a DFT calculation (GGA+U) of a relaxed structure of K3V2AgF9.

The structure belongs to space group P-3m1 (No. 164); the cell edges are 6.0505, 6.0505 and 7.5781 Å and the angles 90.00°, 90.00° and 120.00°. Symmetry generates all atoms from K at (0.0000, 0.0000, 0.0000), K at (0.3333, 0.6667, 0.6432), V at (0.3333, 0.6667, 0.1492), Ag at (0.0000, 0.0000, 0.5000), F at (0.0000, 0.5000, 0.0000) and F at (0.1782, 0.3564, 0.3025).

For the total energy, the calculation gives -76.3 eV per cell. As for the calculated volume: 240 Å³ per cell.